Entry 1:
YFeTe2 | Alexandria | PBE | optimized geometry; uncorrected formation energy = -50.9 kJ/mol of atoms
1.0
4.0429 0.0000 0.0000
0.0000 4.0429 0.0000
0.0000 0.0000 6.4038
Y Fe Te
1 1 2
Direct
0.0000 0.0000 0.0000
0.5000 0.5000 0.3114
0.0000 0.0000 0.4541
0.5000 0.5000 0.8727

Entry 2:
TiBeSb2As | Alexandria | PBE | optimized geometry; uncorrected formation energy = 50.3 kJ/mol of atoms
1.0
4.7745 0.0000 0.0000
0.0000 4.7745 0.0000
0.0000 0.0000 4.6274
Ti Be Sb As
1 1 2 1
Direct
0.0000 0.0000 0.0000
0.0000 0.0000 0.5000
0.0000 0.5000 0.5000
0.5000 0.0000 0.5000
0.5000 0.5000 0.0000

Entry 3:
CuSeCl3 | Alexandria | PBE | optimized geometry; uncorrected formation energy = 17.6 kJ/mol of atoms
1.0
4.7048 0.0000 0.0000
0.0000 4.7048 0.0000
0.0000 0.0000 4.7048
Cu Se Cl
1 1 3
Direct
0.0000 0.0000 0.0000
0.5000 0.5000 0.5000
0.0000 0.0000 0.5000
0.0000 0.5000 0.0000
0.5000 0.0000 0.0000

Entry 4:
Hf2MgScOs | Alexandria | PBE | optimized geometry; E_form = 1.615 eV/atom
1.0
4.9159 0.0000 0.0000
0.0000 4.9159 0.0000
0.0000 0.0000 4.6678
Hf Mg Sc Os
2 1 1 1
Direct
0.0000 0.5000 0.0000
0.5000 0.0000 0.0000
0.0000 0.0000 0.0000
0.0000 0.0000 0.5000
0.5000 0.5000 0.5000

Entry 5:
VBBr2 | Alexandria | PBE | optimized geometry; uncorrected formation energy = 37.1 kJ/mol of atoms
1.0
-4.6714 4.6714 2.1433
4.6714 -4.6714 2.1433
4.6714 4.6714 -2.1433
V B Br
2 2 4
Direct
0.0000 0.0000 0.0000
0.7500 0.2500 0.5000
0.2500 0.7500 0.5000
0.5000 0.5000 0.0000
0.3750 0.0370 0.1620
0.7870 0.6250 0.6620
0.8750 0.2130 0.8380
0.9630 0.1250 0.3380

Entry 6:
CsMnAl2I8 | Alexandria | PBE | optimized geometry; uncorrected formation energy = -63.0 kJ/mol of atoms
1.0
3.6965 2.1342 10.8758
-3.6965 2.1342 10.8758
0.0000 -4.2684 10.8758
Cs Mn Al I
1 1 2 8
Direct
0.0000 0.0000 0.0000
0.5000 0.5000 0.5000
0.2427 0.2427 0.2427
0.7573 0.7573 0.7573
0.1268 0.7677 0.4476
0.2323 0.5524 0.8732
0.3221 0.3221 0.3221
0.4476 0.1268 0.7677
0.5524 0.8732 0.2323
0.6779 0.6779 0.6779
0.7677 0.4476 0.1268
0.8732 0.2323 0.5524

Number 1: N(E_F) 3.40 states/eV/f.u.. Number 2: N(E_F) 4.70 states/eV/f.u.. Number 3: N(E_F) 6.06 states/eV/f.u.. Number 4: N(E_F) 7.83 states/eV/f.u.. Number 5: N(E_F) 4.11 states/eV/f.u.. Number 6: N(E_F) 3.56 states/eV/f.u..